1.
An optimized crystal structure of Nb2CrTc2. Source: Alexandria via LeMat-Bulk, functional PBE.

The calculation puts the total magnetization at 0.00 μB per cell. The calculation puts the calculated formation energy at 0.19 eV/atom. The calculation puts the volume at 165.1 Å³ per cell. The value obtained for the total energy is -9.91 eV per atom. As for the density of states at the Fermi level: 9.21 states/eV/cell.

It has space group P4/mbm (No. 127), with a = 6.185 Å, b = 6.185 Å, c = 4.318 Å, α = 90.00°, β = 90.00° and γ = 90.00°. The distinct sites, in fractional coordinates, are Nb at (0.182, 0.318, 0.000), Cr at (0.000, 0.000, 0.500) and Tc at (0.146, 0.646, 0.500).

=====

2.
An optimized crystal structure of Dy2Pd5Au5. Source: Alexandria via LeMat-Bulk, functional PBE.

The calculation puts the total magnetization at 0.00 μB per cell. The calculation puts the calculated formation energy at -0.51 eV/atom. The calculation puts the volume at 457.0 Å³ per cell. The value obtained for the total energy is -4.80 eV per atom. As for the density of states at the Fermi level: 7.23 states/eV/cell.

It has space group C2/m (No. 12), with a = 13.522 Å, b = 4.633 Å, c = 7.617 Å, α = 90.00°, β = 106.71° and γ = 90.00°. The distinct sites, in fractional coordinates, are Dy at (0.143, 0.000, 0.277), Pd at (0.000, 0.000, 0.500), Pd at (0.074, 0.000, 0.887), Pd at (0.218, 0.000, 0.690), Au at (0.000, 0.500, 0.000), Au at (0.117, 0.500, 0.518) and Au at (0.193, 0.500, 0.920).

=====

3.
An optimized crystal structure of PbSeBr2N. Source: Alexandria via LeMat-Bulk, functional PBE.

The calculation puts the total magnetization at 4.42 μB per cell. The calculation puts the volume at 194.6 Å³ per cell. The value obtained for the total energy is -2.80 eV per atom. As for the density of states at the Fermi level: 5.03 states/eV/cell.

It has space group P4/mmm (No. 123), with a = 5.831 Å, b = 5.831 Å, c = 5.723 Å, α = 90.00°, β = 90.00° and γ = 90.00°. The distinct sites, in fractional coordinates, are Pb at (0.000, 0.000, 0.000), Se at (0.000, 0.000, 0.500), Br at (0.000, 0.500, 0.000) and N at (0.500, 0.500, 0.500).

=====

4.
An optimized crystal structure of TbCd4Hg7. Source: Alexandria via LeMat-Bulk, functional PBE.

The calculation puts the total magnetization at 0.00 μB per cell. The calculation puts the calculated formation energy at -0.04 eV/atom. The calculation puts the volume at 622.6 Å³ per cell. The value obtained for the total energy is -0.90 eV per atom. As for the density of states at the Fermi level: 11.58 states/eV/cell.

It has space group C2/m (No. 12), with a = 12.450 Å, b = 6.189 Å, c = 9.404 Å, α = 90.00°, β = 120.78° and γ = 90.00°. The distinct sites, in fractional coordinates, are Tb at (0.000, 0.000, 0.000), Cd at (0.003, 0.500, 0.332), Cd at (0.247, 0.500, 0.327), Hg at (0.000, 0.500, 0.000), Hg at (0.003, 0.000, 0.340), Hg at (0.241, 0.500, 0.658) and Hg at (0.249, 0.500, 0.999).

=====

5.
An optimized crystal structure of ScNbFe3. Source: Alexandria via LeMat-Bulk, functional PBE.

The calculation puts the total magnetization at 4.27 μB per cell. The calculation puts the calculated formation energy at 0.99 eV/atom. The calculation puts the volume at 92.5 Å³ per cell. The value obtained for the total energy is -7.37 eV per atom. As for the density of states at the Fermi level: 9.68 states/eV/cell.

It has space group Pm-3m (No. 221), with a = 4.523 Å, b = 4.523 Å, c = 4.523 Å, α = 90.00°, β = 90.00° and γ = 90.00°. The distinct sites, in fractional coordinates, are Sc at (0.000, 0.000, 0.000), Nb at (0.500, 0.500, 0.500) and Fe at (0.000, 0.500, 0.500).

=====

6.
An optimized crystal structure of PaNb2. Source: Alexandria via LeMat-Bulk, functional PBE.

The calculation puts the total magnetization at 0.00 μB per cell. The calculation puts the calculated formation energy at 0.03 eV/atom. The calculation puts the volume at 121.1 Å³ per cell. The value obtained for the total energy is -9.84 eV per atom. As for the density of states at the Fermi level: 7.59 states/eV/cell.

It has space group C2/m (No. 12), with a = 8.186 Å, b = 4.727 Å, c = 3.130 Å, α = 90.00°, β = 90.21° and γ = 90.00°. The distinct sites, in fractional coordinates, are Pa at (0.000, 0.000, 0.000) and Nb at (0.166, 0.500, 0.319).

=====

7.
An optimized crystal structure of MgTl2Sn. Source: Alexandria via LeMat-Bulk, functional PBE.

The calculation puts the total magnetization at 0.00 μB per cell. The calculation puts the calculated formation energy at 0.11 eV/atom. The calculation puts the volume at 460.2 Å³ per cell. The value obtained for the total energy is -2.47 eV per atom. As for the density of states at the Fermi level: 9.50 states/eV/cell.

It has space group I-42d (No. 122), with a = 8.538 Å, b = 8.538 Å, c = 6.312 Å, α = 90.00°, β = 90.00° and γ = 90.00°. The distinct sites, in fractional coordinates, are Mg at (0.000, 0.000, 0.000), Tl at (0.245, 0.250, 0.125) and Sn at (0.000, 0.000, 0.500).

=====

8.
An optimized crystal structure of Ac2NpPaN6. Source: Alexandria via LeMat-Bulk, functional PBE.

The calculation puts the total magnetization at 0.13 μB per cell. The calculation puts the volume at 321.8 Å³ per cell. The value obtained for the total energy is -9.40 eV per atom.

It has space group P2_1/c (No. 14), with a = 6.120 Å, b = 6.100 Å, c = 10.555 Å, α = 90.00°, β = 125.25° and γ = 90.00°. The distinct sites, in fractional coordinates, are Ac at (0.243, 0.025, 0.250), Np at (0.000, 0.000, 0.500), Pa at (0.500, 0.000, 0.000), N at (0.172, 0.225, 0.956), N at (0.226, 0.709, 0.959) and N at (0.320, 0.016, 0.741).

=====

9.
An optimized crystal structure of H3Se2I2. Source: Alexandria via LeMat-Bulk, functional PBE.

The calculation puts the total magnetization at 0.00 μB per cell. The calculation puts the volume at 182.5 Å³ per cell. The value obtained for the total energy is -2.82 eV per atom. As for the density of states at the Fermi level: 0.86 states/eV/cell.

It has space group P-1 (No. 2), with a = 4.305 Å, b = 5.729 Å, c = 8.104 Å, α = 85.94°, β = 76.84° and γ = 69.70°. The distinct sites, in fractional coordinates, are H at (0.000, 0.000, 0.000), H at (0.156, 0.232, 0.181), Se at (0.225, 0.222, 0.991) and I at (0.018, 0.749, 0.464).

=====

10.
An optimized crystal structure of ZnNi2Ir. Source: Alexandria via LeMat-Bulk, functional PBE.

The calculation puts the total magnetization at 0.00 μB per cell. The calculation puts the calculated formation energy at -0.10 eV/atom. The calculation puts the volume at 100.3 Å³ per cell. The value obtained for the total energy is -5.52 eV per atom. As for the density of states at the Fermi level: 9.47 states/eV/cell.

It has space group Cm (No. 8), with a = 8.604 Å, b = 2.650 Å, c = 4.477 Å, α = 90.00°, β = 100.82° and γ = 90.00°. The distinct sites, in fractional coordinates, are Zn at (0.000, 0.000, 0.000), Ni at (0.249, 0.500, 0.228), Ni at (0.498, 0.000, 0.488) and Ir at (0.245, 0.000, 0.715).

=====

11.
An optimized crystal structure of DyFeRe. Source: Alexandria via LeMat-Bulk, functional PBE.

The calculation puts the total magnetization at 11.47 μB per cell. The calculation puts the calculated formation energy at -0.11 eV/atom. The calculation puts the volume at 417.7 Å³ per cell. The value obtained for the total energy is -8.61 eV per atom. As for the density of states at the Fermi level: 22.43 states/eV/cell.

It has space group Amm2 (No. 38), with a = 8.718 Å, b = 5.295 Å, c = 9.049 Å, α = 90.00°, β = 90.00° and γ = 90.00°. The distinct sites, in fractional coordinates, are Dy at (0.183, 0.000, 0.000), Dy at (0.307, 0.000, 0.333), Fe at (0.000, 0.250, 0.257), Fe at (0.237, 0.000, 0.665), Re at (0.000, 0.000, 0.504), Re at (0.500, 0.000, 0.834) and Re at (0.500, 0.249, 0.083).

=====

12.
An optimized crystal structure of LiTc3Ni. Source: Alexandria via LeMat-Bulk, functional PBE.

The calculation puts the total magnetization at 0.00 μB per cell. The calculation puts the calculated formation energy at 1.48 eV/atom. The calculation puts the volume at 88.4 Å³ per cell. The value obtained for the total energy is -6.28 eV per atom. As for the density of states at the Fermi level: 13.40 states/eV/cell.

It has space group Pm-3m (No. 221), with a = 4.454 Å, b = 4.454 Å, c = 4.454 Å, α = 90.00°, β = 90.00° and γ = 90.00°. The distinct sites, in fractional coordinates, are Li at (0.000, 0.000, 0.000), Tc at (0.000, 0.500, 0.500) and Ni at (0.500, 0.500, 0.500).

=====

Q: Which formula does entry 4 have?
A: TbCd4Hg7